No. 1
{"formula": "BaCa", "functional": "PBEsol", "state": "optimized geometry", "sg": "No. 221", "energy_ev_per_cell": -4.22, "e_form_ev_per_atom": 0.030, "lattice": [[-3.680, 1.701, 2.232], [-2.791, -2.607, -2.614], [0.297, -3.424, 3.099]], "species": ["Ca", "Ba"], "fractional_positions": [[0.500, 0.500, 0.500], [0.000, 0.000, 0.000]]}

=====

No. 2
{"formula": "Ba2Ca", "functional": "PBEsol", "state": "optimized geometry", "sg": "No. 191", "energy_ev_per_cell": -6.19, "e_form_ev_per_atom": 0.081, "lattice": [[3.982, 0.000, 0.000], [0.000, 6.698, 0.000], [0.000, -3.349, 5.801]], "species": ["Ca", "Ba", "Ba"], "fractional_positions": [[0.500, 0.000, 0.000], [0.000, 0.333, 0.667], [0.000, 0.667, 0.333]]}

=====

No. 3
{"formula": "BaCa2", "functional": "PBEsol", "state": "optimized geometry", "sg": "No. 164", "energy_ev_per_cell": -6.33, "e_form_ev_per_atom": 0.028, "lattice": [[-2.017, 0.403, -3.241], [5.022, -2.025, -3.377], [-4.298, -4.196, 2.154]], "species": ["Ba", "Ca", "Ca"], "fractional_positions": [[0.000, 0.000, 0.000], [0.652, 0.667, 0.333], [0.348, 0.333, 0.667]]}

=====

No. 4
{"formula": "BaCa", "functional": "PBEsol", "state": "optimized geometry", "sg": "No. 59", "energy_ev_per_cell": -8.45, "e_form_ev_per_atom": 0.028, "lattice": [[4.067, 0.000, 0.000], [0.000, 6.635, 0.000], [0.000, 0.000, 7.102]], "species": ["Ca", "Ca", "Ba", "Ba"], "fractional_positions": [[0.000, 0.500, 0.916], [0.500, 0.000, 0.084], [0.500, 0.500, 0.408], [0.000, 0.000, 0.592]]}

=====

No. 5
{"formula": "Ba3Ca", "functional": "PBEsol", "state": "optimized geometry", "sg": "No. 10", "energy_ev_per_cell": -8.51, "e_form_ev_per_atom": 0.018, "lattice": [[-0.476, 1.857, -3.633], [-6.483, -1.625, 0.018], [-1.493, 6.010, 4.770]], "species": ["Ba", "Ba", "Ba", "Ca"], "fractional_positions": [[0.000, 0.500, 0.500], [0.249, 0.000, 0.244], [0.751, 0.000, 0.756], [0.500, 0.500, 0.000]]}

=====

No. 6
{"formula": "Ba5Ca4", "functional": "PBEsol", "state": "optimized geometry", "sg": "No. 139", "energy_ev_per_cell": -18.99, "e_form_ev_per_atom": 0.032, "lattice": [[4.812, 0.000, 0.000], [2.406, 9.630, 0.000], [2.406, 0.000, 9.630]], "species": ["Ca", "Ca", "Ca", "Ca", "Ba", "Ba", "Ba", "Ba", "Ba"], "fractional_positions": [[0.657, 0.343, 0.343], [0.000, 0.343, 0.657], [0.343, 0.657, 0.657], [0.000, 0.657, 0.343], [0.333, 0.333, 0.000], [0.667, 0.667, 0.000], [0.667, 0.000, 0.667], [0.333, 0.000, 0.333], [0.000, 0.000, 0.000]]}

=====

No. 7
{"formula": "BaCa3", "functional": "PBEsol", "state": "optimized geometry", "sg": "No. 223", "energy_ev_per_cell": -16.61, "e_form_ev_per_atom": 0.061, "lattice": [[-5.184, 4.081, 2.644], [-1.594, -5.078, 4.711], [4.594, 2.843, 4.619]], "species": ["Ba", "Ba", "Ca", "Ca", "Ca", "Ca", "Ca", "Ca"], "fractional_positions": [[0.000, 0.000, 0.000], [0.500, 0.500, 0.500], [0.500, 0.000, 0.250], [0.000, 0.750, 0.500], [0.000, 0.250, 0.500], [0.750, 0.500, 0.000], [0.500, 0.000, 0.750], [0.250, 0.500, 0.000]]}

=====

No. 8
{"formula": "BaCa3", "functional": "PBEsol", "state": "optimized geometry", "sg": "No. 65", "energy_ev_per_cell": -8.41, "e_form_ev_per_atom": 0.035, "lattice": [[3.945, 0.000, 0.000], [0.000, 6.909, -0.005], [0.000, -2.306, 6.513]], "species": ["Ba", "Ca", "Ca", "Ca"], "fractional_positions": [[0.000, 0.000, 0.000], [0.500, 0.500, 0.000], [0.500, 0.000, 0.500], [0.000, 0.500, 0.500]]}

=====

No. 9
{"formula": "Ba3Ca5", "functional": "PBEsol", "state": "optimized geometry", "sg": "No. 65", "energy_ev_per_cell": -16.84, "e_form_ev_per_atom": 0.033, "lattice": [[-5.320, 0.654, 0.920], [0.273, -5.957, 5.815], [1.699, 5.883, 5.646]], "species": ["Ca", "Ca", "Ca", "Ca", "Ca", "Ba", "Ba", "Ba"], "fractional_positions": [[0.000, 0.500, 0.000], [0.500, 0.243, 0.243], [0.000, 0.000, 0.000], [0.000, 0.000, 0.500], [0.500, 0.757, 0.757], [0.000, 0.500, 0.500], [0.500, 0.243, 0.757], [0.500, 0.757, 0.243]]}

=====

No. 10
{"formula": "Ba2Ca", "functional": "PBEsol", "state": "optimized geometry", "sg": "No. 164", "energy_ev_per_cell": -6.30, "e_form_ev_per_atom": 0.042, "lattice": [[4.169, 0.000, 0.000], [-2.084, 3.610, 0.000], [0.000, 0.000, 10.326]], "species": ["Ba", "Ba", "Ca"], "fractional_positions": [[0.667, 0.333, 0.677], [0.333, 0.667, 0.323], [0.000, 0.000, 0.000]]}

=====

No. 11
{"formula": "BaCa2Cd", "functional": "PBEsol", "state": "optimized geometry", "sg": "No. 123", "energy_ev_per_cell": -8.21, "e_form_ev_per_atom": -0.150, "lattice": [[3.859, 0.000, 0.000], [0.000, 3.859, 0.000], [0.000, 0.000, 10.041]], "species": ["Ca", "Ca", "Ba", "Cd"], "fractional_positions": [[0.000, 0.000, 0.180], [0.000, 0.000, 0.820], [0.500, 0.500, 0.500], [0.500, 0.500, 0.000]]}

=====

No. 12
{"formula": "BaCa4Cd", "functional": "PBEsol", "state": "optimized geometry", "sg": "No. 216", "energy_ev_per_cell": -10.83, "e_form_ev_per_atom": 0.175, "lattice": [[-0.383, -4.082, 5.727], [-0.849, -6.958, -0.685], [5.298, -4.366, 1.573]], "species": ["Ca", "Ca", "Ca", "Ca", "Ba", "Cd"], "fractional_positions": [[0.376, 0.376, 0.376], [0.376, 0.376, 0.873], [0.873, 0.376, 0.376], [0.376, 0.873, 0.376], [0.000, 0.000, 0.000], [0.750, 0.750, 0.750]]}

=====

No. 13
{"formula": "BaCaCd", "functional": "PBEsol", "state": "optimized geometry", "sg": "No. 107", "energy_ev_per_cell": -6.14, "e_form_ev_per_atom": -0.219, "lattice": [[3.989, 0.000, 0.000], [0.000, 3.989, 0.000], [-1.995, -1.995, 6.935]], "species": ["Ca", "Cd", "Ba"], "fractional_positions": [[0.703, 0.703, 0.407], [0.319, 0.319, 0.637], [0.978, 0.978, 0.956]]}

=====

No. 14
{"formula": "BaCa2Cd", "functional": "PBEsol", "state": "optimized geometry", "sg": "No. 71", "energy_ev_per_cell": -8.21, "e_form_ev_per_atom": -0.150, "lattice": [[3.951, 0.000, 0.000], [0.000, 6.125, 0.000], [-1.976, -3.062, 6.270]], "species": ["Ca", "Ca", "Cd", "Ba"], "fractional_positions": [[0.203, 0.203, 0.406], [0.797, 0.797, 0.594], [0.500, 0.000, 0.000], [0.000, 0.500, 0.000]]}

=====

No. 15
{"formula": "BaCaCd", "functional": "PBEsol", "state": "optimized geometry", "sg": "No. 216", "energy_ev_per_cell": -4.79, "e_form_ev_per_atom": 0.229, "lattice": [[5.458, 0.000, 0.000], [2.729, 4.727, 0.000], [2.729, 1.576, 4.456]], "species": ["Cd", "Ca", "Ba"], "fractional_positions": [[0.000, 0.000, 0.000], [0.250, 0.250, 0.250], [0.500, 0.500, 0.500]]}

=====

No. 16
{"formula": "BaCa2Cd", "functional": "PBEsol", "state": "optimized geometry", "sg": "No. 99", "energy_ev_per_cell": -8.26, "e_form_ev_per_atom": -0.161, "lattice": [[-0.579, 0.885, -3.916], [0.667, -3.881, -0.976], [-8.930, -1.766, 0.921]], "species": ["Ca", "Ca", "Cd", "Ba"], "fractional_positions": [[0.500, 0.500, 0.300], [0.000, 0.000, 0.033], [0.000, 0.000, 0.464], [0.500, 0.500, 0.703]]}

=====

No. 17
{"formula": "BaCa2CrCd", "functional": "PBEsol", "state": "optimized geometry", "sg": "No. 123", "energy_ev_per_cell": -11.35, "e_form_ev_per_atom": 1.301, "lattice": [[4.867, 0.000, 0.000], [0.000, 5.866, 0.000], [0.000, 0.000, 5.866]], "species": ["Ba", "Ca", "Ca", "Cd", "Cr"], "fractional_positions": [[0.000, 0.000, 0.000], [0.000, 0.000, 0.500], [0.000, 0.500, 0.000], [0.500, 0.500, 0.500], [0.500, 0.000, 0.000]]}

=====

No. 18
{"formula": "BaCaCdFe2", "functional": "PBEsol", "state": "optimized geometry", "sg": "No. 123", "energy_ev_per_cell": -17.66, "e_form_ev_per_atom": 1.149, "lattice": [[-1.419, 1.348, 4.664], [-4.637, -1.817, -0.886], [1.589, -4.992, 1.926]], "species": ["Cd", "Ca", "Fe", "Fe", "Ba"], "fractional_positions": [[0.000, 0.000, 0.500], [0.000, 0.000, 0.000], [0.500, 0.000, 0.000], [0.000, 0.500, 0.000], [0.500, 0.500, 0.500]]}

=====

No. 19
{"formula": "Ba2CaCl", "functional": "PBEsol", "state": "optimized geometry", "sg": "No. 71", "energy_ev_per_cell": -11.19, "raw_formation_energy_mev_per_atom": -688, "lattice": [[-3.461, -1.141, -2.061], [-4.451, -3.262, 5.027], [-5.630, 3.799, 3.096]], "species": ["Ca", "Ba", "Ba", "Cl"], "fractional_positions": [[0.500, 0.000, 0.000], [0.311, 0.689, 0.689], [0.689, 0.311, 0.311], [0.000, 0.500, 0.500]]}

=====

No. 20
{"formula": "Ba2CaCl", "functional": "PBEsol", "state": "optimized geometry", "sg": "No. 119", "energy_ev_per_cell": -10.28, "raw_formation_energy_mev_per_atom": -461, "lattice": [[4.939, 0.000, 0.000], [0.000, 4.939, 0.000], [-2.470, -2.470, 7.340]], "species": ["Ba", "Ba", "Cl", "Ca"], "fractional_positions": [[0.000, 0.000, 0.000], [0.750, 0.250, 0.500], [0.250, 0.750, 0.500], [0.500, 0.500, 0.000]]}

=====

No. 21
{"formula": "Ba2CaCoCl", "functional": "PBEsol", "state": "optimized geometry", "sg": "No. 123", "energy_ev_per_cell": -14.64, "raw_formation_energy_mev_per_atom": 307, "lattice": [[-3.439, -0.700, 2.507], [1.955, -6.167, 0.960], [3.429, 1.902, 5.235]], "species": ["Cl", "Co", "Ba", "Ba", "Ca"], "fractional_positions": [[0.500, 0.500, 0.500], [0.500, 0.000, 0.000], [0.000, 0.500, 0.000], [0.000, 0.000, 0.500], [0.000, 0.000, 0.000]]}

=====

No. 22
{"formula": "BaCaPCl2", "functional": "PBEsol", "state": "optimized geometry", "sg": "No. 123", "energy_ev_per_cell": -18.64, "raw_formation_energy_mev_per_atom": -909, "lattice": [[-2.683, -4.711, -1.507], [2.022, 0.521, -5.225], [4.652, -3.125, 1.488]], "species": ["Ba", "Cl", "Cl", "P", "Ca"], "fractional_positions": [[0.000, 0.000, 0.000], [0.000, 0.500, 0.000], [0.500, 0.000, 0.000], [0.000, 0.000, 0.500], [0.500, 0.500, 0.500]]}

=====

No. 23
{"formula": "BaCaSi2Cl", "functional": "PBEsol", "state": "optimized geometry", "sg": "No. 123", "energy_ev_per_cell": -17.27, "raw_formation_energy_mev_per_atom": 103, "lattice": [[-3.403, -3.254, 2.063], [3.045, -0.585, 4.101], [-2.494, 4.158, 2.445]], "species": ["Si", "Si", "Ca", "Ba", "Cl"], "fractional_positions": [[0.500, 0.000, 0.000], [0.000, 0.500, 0.000], [0.500, 0.500, 0.500], [0.000, 0.000, 0.500], [0.000, 0.000, 0.000]]}

=====

No. 24
{"formula": "BaCa2Co", "functional": "PBEsol", "state": "optimized geometry", "sg": "No. 8", "energy_ev_per_cell": -12.91, "e_form_ev_per_atom": 0.311, "lattice": [[-1.148, -3.383, -1.407], [4.818, -2.328, -3.572], [3.705, -4.542, 2.657]], "species": ["Ba", "Co", "Ca", "Ca"], "fractional_positions": [[0.178, 0.366, 0.277], [0.490, 0.364, 0.657], [0.005, 0.059, 0.930], [0.826, 0.711, 0.637]]}

=====

No. 25
{"formula": "BaCa2Co", "functional": "PBEsol", "state": "optimized geometry", "sg": "No. 99", "energy_ev_per_cell": -12.80, "e_form_ev_per_atom": 0.337, "lattice": [[3.646, 0.000, 0.000], [0.000, 3.646, 0.000], [0.000, 0.000, 9.617]], "species": ["Ba", "Co", "Ca", "Ca"], "fractional_positions": [[0.500, 0.500, 0.674], [0.000, 0.000, 0.479], [0.000, 0.000, 0.024], [0.500, 0.500, 0.324]]}

=====

No. 26
{"formula": "BaCa2Co", "functional": "PBEsol", "state": "optimized geometry", "sg": "No. 160", "energy_ev_per_cell": -12.58, "e_form_ev_per_atom": 0.393, "lattice": [[-1.493, -0.231, -3.664], [1.571, -2.520, -2.625], [-6.451, -8.179, 1.000]], "species": ["Ca", "Ca", "Ba", "Co"], "fractional_positions": [[0.777, 0.777, 0.668], [0.004, 0.004, 0.987], [0.222, 0.222, 0.335], [0.497, 0.497, 0.510]]}

=====

No. 27
{"formula": "BaCaCo4", "functional": "PBEsol", "state": "optimized geometry", "sg": "No. 216", "energy_ev_per_cell": -32.79, "e_form_ev_per_atom": 0.406, "lattice": [[-0.945, 4.782, 1.656], [0.849, 1.233, 4.926], [3.908, 3.115, 1.237]], "species": ["Co", "Co", "Co", "Co", "Ba", "Ca"], "fractional_positions": [[0.374, 0.879, 0.374], [0.374, 0.374, 0.879], [0.374, 0.374, 0.374], [0.879, 0.374, 0.374], [0.750, 0.750, 0.750], [0.000, 0.000, 0.000]]}

=====

No. 28
{"formula": "Ba2CaCo", "functional": "PBEsol", "state": "optimized geometry", "sg": "No. 44", "energy_ev_per_cell": -12.69, "e_form_ev_per_atom": 0.370, "lattice": [[3.785, 0.000, 0.000], [0.000, 6.057, 0.000], [-1.893, -3.029, 6.171]], "species": ["Ca", "Ba", "Ba", "Co"], "fractional_positions": [[0.582, 0.582, 0.164], [0.923, 0.923, 0.846], [0.749, 0.249, 0.498], [0.246, 0.746, 0.492]]}

=====

No. 29
{"formula": "BaCa2Cr", "functional": "PBEsol", "state": "optimized geometry", "sg": "No. 99", "energy_ev_per_cell": -14.71, "e_form_ev_per_atom": 0.488, "lattice": [[-1.777, 3.468, 0.769], [-2.708, -0.767, -2.802], [-5.421, -4.193, 6.386]], "species": ["Cr", "Ca", "Ca", "Ba"], "fractional_positions": [[0.000, 0.000, 0.469], [0.000, 0.000, 0.029], [0.500, 0.500, 0.300], [0.500, 0.500, 0.701]]}

=====

No. 30
{"formula": "BaCa2Cr", "functional": "PBEsol", "state": "optimized geometry", "sg": "No. 119", "energy_ev_per_cell": -14.50, "e_form_ev_per_atom": 0.539, "lattice": [[5.832, -0.007, 0.009], [-2.893, 5.063, -0.009], [2.893, 1.701, 4.769]], "species": ["Ba", "Cr", "Ca", "Ca"], "fractional_positions": [[0.500, 0.250, 0.250], [0.000, 0.500, 0.500], [0.000, 0.000, 0.000], [0.500, 0.750, 0.750]]}

=====

M_tot values, unit μB/atom, following the record order: 0.000, 0.000, 0.000, 0.000, 0.000, 0.000, 0.000, 0.000, 0.000, 0.000, 0.000, 0.000, 0.000, 0.000, 0.001, 0.000, 0.418, 1.006, 0.000, 0.001, 0.000, 0.000, 0.000, 0.000, 0.203, 0.147, 0.721, 0.007, 1.177, 1.325.